(1)
VASP calculation (PBE) on a geometry-optimized SmLuNO structure.

Lattice parameters (Å, degrees): 8.0470 6.6283 4.9056 90.00 90.00 90.00
Atoms (fractional coordinates):
Sm: 0.1259 0.0672 0.2500
Sm: 0.1259 0.4328 0.7500
Sm: 0.8741 0.5672 0.2500
Sm: 0.8741 0.9328 0.7500
Lu: 0.3790 0.5859 0.2500
Lu: 0.3790 0.9141 0.7500
Lu: 0.6210 0.0859 0.2500
Lu: 0.6210 0.4141 0.7500
N: 0.3852 0.5802 0.7500
N: 0.3852 0.9198 0.2500
N: 0.6148 0.0802 0.7500
N: 0.6148 0.4198 0.2500
O: 0.1480 0.0860 0.7500
O: 0.1480 0.4140 0.2500
O: 0.8520 0.5860 0.7500
O: 0.8520 0.9140 0.2500

Calculated values
Its crystal system is orthorhombic. The volume is 16.35 Å³/atom. The symmetry is No. 57. The value obtained for the magnetic moment is 0.0 μB/cell.

***

(2)
VASP calculation (PBE) on a geometry-optimized SmLuNO structure.

Lattice parameters (Å, degrees): 4.0417 6.7791 4.9028 90.00 90.00 90.00
Atoms (fractional coordinates):
Sm: 0.0000 0.1623 0.0000
Sm: 0.0000 0.8377 0.5000
Lu: 0.5000 0.3237 0.5005
Lu: 0.5000 0.6763 0.0005
N: 0.0000 0.1924 0.5002
N: 0.0000 0.8076 0.0002
O: 0.5000 0.3543 0.9985
O: 0.5000 0.6457 0.4985

Calculated values
Its crystal system is orthorhombic. The volume is 16.79 Å³/atom. The symmetry is No. 26. The value obtained for the magnetic moment is 0.1 μB/cell.

***

(3)
VASP calculation (PBE) on a geometry-optimized SmLuNO structure.

Lattice parameters (Å, degrees): 4.3421 4.3421 8.3596 90.00 90.00 90.00
Atoms (fractional coordinates):
Sm: 0.2500 0.2500 0.1076
Sm: 0.7500 0.7500 0.8924
Lu: 0.2500 0.7500 0.5000
Lu: 0.7500 0.2500 0.5000
N: 0.2500 0.2500 0.5618
N: 0.7500 0.7500 0.4382
O: 0.2500 0.7500 0.0000
O: 0.7500 0.2500 0.0000

Calculated values
Its crystal system is tetragonal. The volume is 19.70 Å³/atom. The symmetry is No. 129. The value obtained for the magnetic moment is 0.0 μB/cell.

***

Stability check: which of them is most stable? (1).

***

(1)
VASP calculation (PBE) on a geometry-optimized SmLuNO structure.

Lattice parameters (Å, degrees): 4.8810 4.8810 4.7942 90.00 90.00 90.00
Atoms (fractional coordinates):
Sm: 0.2500 0.7500 0.0000
Sm: 0.7500 0.2500 0.0000
Lu: 0.2500 0.2500 0.4993
Lu: 0.7500 0.7500 0.5007
N: 0.2500 0.2500 0.0000
N: 0.7500 0.7500 0.0000
O: 0.2500 0.7500 0.5000
O: 0.7500 0.2500 0.5000

Calculated values
Its crystal system is tetragonal. The volume is 14.28 Å³/atom. The symmetry is No. 129. The value obtained for the magnetic moment is 0.0 μB/cell.

***

(2)
VASP calculation (PBE) on a geometry-optimized SmLuNO structure.

Lattice parameters (Å, degrees): 4.8526 3.9637 6.8923 90.00 90.00 90.00
Atoms (fractional coordinates):
Sm: 0.2500 0.0000 0.1639
Sm: 0.7500 0.0000 0.8361
Lu: 0.2500 0.5000 0.6647
Lu: 0.7500 0.5000 0.3353
N: 0.2500 0.5000 0.3469
N: 0.7500 0.5000 0.6531
O: 0.2500 0.0000 0.8032
O: 0.7500 0.0000 0.1968

Calculated values
Its crystal system is orthorhombic. The volume is 16.57 Å³/atom. The symmetry is No. 51. The value obtained for the magnetic moment is 0.0 μB/cell.

***

Stability check: which of them is most stable? (2).

***

(1)
VASP calculation (PBE) on a geometry-optimized LuTaNO structure.

Lattice parameters (Å, degrees): 3.9545 3.9545 7.7128 90.00 90.00 90.00
Atoms (fractional coordinates):
Lu: 0.2500 0.2500 0.1235
Lu: 0.7500 0.7500 0.8765
Ta: 0.2500 0.7500 0.5000
Ta: 0.7500 0.2500 0.5000
N: 0.2500 0.2500 0.5946
N: 0.7500 0.7500 0.4054
O: 0.2500 0.7500 0.0000
O: 0.7500 0.2500 0.0000

Calculated values
Its crystal system is tetragonal. The volume is 15.08 Å³/atom. The symmetry is No. 129. The value obtained for the magnetic moment is 0.0 μB/cell.

***

(2)
VASP calculation (PBE) on a geometry-optimized LuTaNO structure.

Lattice parameters (Å, degrees): 3.2818 3.2818 4.4094 90.00 90.00 90.00
Atoms (fractional coordinates):
Lu: 0.0000 0.0000 0.0000
Ta: 0.5000 0.5000 0.5000
N: 0.5000 0.5000 0.0000
O: 0.0000 0.0000 0.5000

Calculated values
Its crystal system is tetragonal. The volume is 11.87 Å³/atom. The symmetry is No. 123. The value obtained for the magnetic moment is 0.0 μB/cell.

***

(3)
VASP calculation (PBE) on a geometry-optimized LuTaNO structure.

Lattice parameters (Å, degrees): 3.3696 5.9540 5.6876 90.00 90.00 90.00
Atoms (fractional coordinates):
Lu: 0.0000 0.1715 0.0000
Lu: 0.0000 0.8285 0.5000
Ta: 0.5000 0.3901 0.4306
Ta: 0.5000 0.6099 0.9306
N: 0.0000 0.1950 0.4009
N: 0.0000 0.8050 0.9009
O: 0.5000 0.2684 0.7902
O: 0.5000 0.7316 0.2902

Calculated values
Its crystal system is orthorhombic. The volume is 14.26 Å³/atom. The symmetry is No. 26. The value obtained for the magnetic moment is 0.0 μB/cell.

***

(4)
VASP calculation (PBE) on a geometry-optimized LuTaNO structure.

Lattice parameters (Å, degrees): 3.2186 6.0061 6.0465 90.00 90.00 90.00
Atoms (fractional coordinates):
Lu: 0.0000 0.1609 0.0000
Lu: 0.0000 0.8391 0.5000
Ta: 0.5000 0.3340 0.4583
Ta: 0.5000 0.6660 0.9583
N: 0.5000 0.3877 0.1388
N: 0.5000 0.6123 0.6388
O: 0.0000 0.1701 0.6501
O: 0.0000 0.8299 0.1501

Calculated values
Its crystal system is orthorhombic. The volume is 14.61 Å³/atom. The symmetry is No. 26. The value obtained for the magnetic moment is 0.1 μB/cell.

***

Stability check: which of them is most stable? (1).